# 1
The following is a GGA-PBE calculation of an optimized crystal structure of ThHgS2, from Alexandria via LeMat-Bulk.

The formation energy without anion corrections comes out at -538 kJ/mol of formula units.

Lattice parameters (Å, degrees): 4.2276 4.2276 28.6659 90.00 90.00 120.00
Space group R-3m (No. 166, hexagonal axes)
Inequivalent atoms, fractional coordinates:
Th (0.0000, 0.0000, 0.0000) (multiplicity 3)
Hg (0.0000, 0.0000, 0.5000) (multiplicity 3)
S (0.0000, 0.0000, 0.2859) (multiplicity 6)

---

# 2
The following is a GGA-PBE calculation of an optimized crystal structure of Mg5Al2Pd12, from Alexandria via LeMat-Bulk.

The value obtained for the energy of formation is -0.61 eV/atom.

Lattice parameters (Å, degrees): 12.601 8.233 5.899 90.00 92.84 90.00
Space group C2/m (No. 12)
Inequivalent atoms, fractional coordinates:
Mg (0.000, 0.000, 0.000) (multiplicity 2)
Mg (0.177, 0.500, 0.429) (multiplicity 4)
Mg (0.244, 0.000, 0.046) (multiplicity 4)
Al (0.000, 0.248, 0.500) (multiplicity 4)
Pd (0.042, 0.500, 0.758) (multiplicity 4)
Pd (0.102, 0.275, 0.116) (multiplicity 8)
Pd (0.110, 0.000, 0.404) (multiplicity 4)
Pd (0.188, 0.235, 0.701) (multiplicity 8)

---

# 3
The following is a GGA-PBE calculation of an optimized crystal structure of Li4U3AgTe8, from Alexandria via LeMat-Bulk.

The formation energy without anion corrections comes out at -1077 kJ/mol of formula units.

Lattice parameters (Å, degrees): 8.6097 8.6097 21.1703 90.00 90.00 120.00
Space group R-3m (No. 166, hexagonal axes)
Inequivalent atoms, fractional coordinates:
Li (0.0000, 0.0000, 0.0000) (multiplicity 3)
Li (0.0000, 0.5000, 0.0000) (multiplicity 9)
U (0.0000, 0.5000, 0.5000) (multiplicity 9)
Ag (0.0000, 0.0000, 0.5000) (multiplicity 3)
Te (0.0000, 0.0000, 0.2541) (multiplicity 6)
Te (0.9999, 0.4999, 0.2515) (multiplicity 18)

---

Sequential total moment output: 0.00 0.00 7.00 μB/f.u.